First-principles (PBE-GGA) data for a relaxed structure of Co2Hg2Ge, as listed in the Alexandria database. Values from VASP.

Summary:
calculated density: 12097 kg/m3
formation energy: 0.221 eV/atom
E_tot: -0.269 Ry/atom
DOS(E_F): 3.1 states/eV/f.u.
calculated volume: 16.24 A^3/atom
crystal system: tetragonal
magnetization: 0.240 μB per atom
space-group type: No. 127

Geometry as Quantum ESPRESSO input:
```
&SYSTEM
  ibrav = 0, nat = 10, ntyp = 3
/
ATOMIC_SPECIES
Co 58.93 Co.upf
Ge 72.64 Ge.upf
Hg 200.59 Hg.upf
CELL_PARAMETERS angstrom
6.102 0.000 0.000
0.000 6.102 0.000
0.000 0.000 4.363
ATOMIC_POSITIONS crystal
Co 0.641 0.141 0.000
Co 0.141 0.359 0.000
Co 0.859 0.641 0.000
Co 0.359 0.859 0.000
Ge 0.500 0.500 0.000
Ge 0.000 0.000 0.000
Hg 0.168 0.668 0.500
Hg 0.832 0.332 0.500
Hg 0.332 0.168 0.500
Hg 0.668 0.832 0.500
```

***

First-principles (PBE-GGA) data for a relaxed structure of PmTm2Te2, as listed in the Alexandria database. Values from VASP.

Summary:
calculated density: 7878 kg/m3
E_tot: -0.354 Ry/atom
DOS(E_F): 3.4 states/eV/f.u.
calculated volume: 31.11 A^3/atom
ΔE_f (raw): -0.823 eV per atom
crystal system: monoclinic
magnetization: 0.000 μB per atom
space-group type: No. 15

Geometry as Quantum ESPRESSO input:
```
&SYSTEM
  ibrav = 0, nat = 10, ntyp = 3
/
ATOMIC_SPECIES
Pm 145.00 Pm.upf
Tm 168.93 Tm.upf
Te 127.60 Te.upf
CELL_PARAMETERS angstrom
-4.735 6.178 -2.200
-1.654 -5.222 -5.951
-1.637 -2.135 5.145
ATOMIC_POSITIONS crystal
Pm 0.099 0.401 0.250
Pm 0.901 0.599 0.750
Tm 0.392 0.715 0.052
Tm 0.608 0.285 0.948
Tm 0.785 0.108 0.448
Tm 0.215 0.892 0.552
Te 0.797 0.703 0.250
Te 0.203 0.297 0.750
Te 0.618 0.882 0.750
Te 0.382 0.118 0.250
```

***

First-principles (PBE-GGA) data for a relaxed structure of IrAu, as listed in the Alexandria database. Values from VASP.

Summary:
calculated density: 19184 kg/m3
formation energy: 0.380 eV/atom
E_tot: -0.418 Ry/atom
DOS(E_F): 2.3 states/eV/f.u.
calculated volume: 16.84 A^3/atom
crystal system: triclinic
magnetization: 0.000 μB per atom
space-group type: No. 2

Geometry as Quantum ESPRESSO input:
```
&SYSTEM
  ibrav = 0, nat = 4, ntyp = 2
/
ATOMIC_SPECIES
Ir 192.22 Ir.upf
Au 196.97 Au.upf
CELL_PARAMETERS angstrom
-1.525 0.295 2.328
-1.776 -3.608 -2.371
4.351 -3.148 1.572
ATOMIC_POSITIONS crystal
Ir 0.093 0.767 0.417
Ir 0.907 0.233 0.583
Au 0.210 0.281 0.128
Au 0.790 0.719 0.872
```

***

First-principles (PBE-GGA) data for a relaxed structure of CaHoSn, as listed in the Alexandria database. Values from VASP.

Summary:
calculated density: 5108 kg/m3
formation energy: 0.053 eV/atom
E_tot: -0.255 Ry/atom
DOS(E_F): 3.8 states/eV/f.u.
calculated volume: 35.08 A^3/atom
crystal system: tetragonal
magnetization: 0.000 μB per atom
space-group type: No. 107

Geometry as Quantum ESPRESSO input:
```
&SYSTEM
  ibrav = 0, nat = 3, ntyp = 3
/
ATOMIC_SPECIES
Ho 164.93 Ho.upf
Ca 40.08 Ca.upf
Sn 118.71 Sn.upf
CELL_PARAMETERS angstrom
-1.010 -0.965 -3.214
2.975 -1.811 -0.391
-4.778 -5.558 5.082
ATOMIC_POSITIONS crystal
Ho 0.145 0.145 0.291
Ca 0.942 0.942 0.885
Sn 0.762 0.762 0.524
```

***

Among the records above, which one has the lowest calculated volume? Co2Hg2Ge

***

Which of these has the lowest E_tot? IrAu

***

Look up the magnetization of the second one. 0.000 μB per atom

***

Which formula does entry 4 have? CaHoSn